Record 1
A plane-wave DFT calculation with PBEsol was carried out for an optimized crystal structure of Y3AgN.

The space group is Pm-3m (No. 221) and the conventional cell measures 4.728, 4.728 and 4.728 Å, with angles of 90.00, 90.00 and 90.00 degrees. The inequivalent atoms are Y at (0.000, 0.000, 0.500), Ag at (0.500, 0.500, 0.500) and N at (0.000, 0.000, 0.000).

The total energy comes out at -36.505 eV per cell. The value obtained for the uncorrected formation energy is -0.8401 eV per atom. The density of states at the Fermi level comes out at 7.14 states/eV per cell.

Record 2
A plane-wave DFT calculation with PBEsol was carried out for an optimized crystal structure of YAgN3.

The space group is Pm-3m (No. 221) and the conventional cell measures 4.446, 4.446 and 4.446 Å, with angles of 90.00, 90.00 and 90.00 degrees. The inequivalent atoms are Y at (0.000, 0.000, 0.000), Ag at (0.500, 0.500, 0.500) and N at (0.000, 0.000, 0.500).

The total energy comes out at -28.419 eV per cell. The value obtained for the uncorrected formation energy is 1.4588 eV per atom. The density of states at the Fermi level comes out at 3.02 states/eV per cell.

Record 3
A plane-wave DFT calculation with PBEsol was carried out for an optimized crystal structure of NaAg2.

The space group is Fd-3m (No. 227, origin choice 2) and the conventional cell measures 7.827, 7.827 and 7.827 Å, with angles of 90.00, 90.00 and 90.00 degrees. The inequivalent atoms are Na at (0.125, 0.125, 0.125) and Ag at (0.000, 0.000, 0.500).

The total energy comes out at -65.435 eV per cell. The energy relative to the elements is -0.0524 eV/atom. The density of states at the Fermi level comes out at 4.10 states/eV per cell.

Record 4
A plane-wave DFT calculation with PBEsol was carried out for an optimized crystal structure of NaNbAg3.

The space group is Pm-3m (No. 221) and the conventional cell measures 4.659, 4.659 and 4.659 Å, with angles of 90.00, 90.00 and 90.00 degrees. The inequivalent atoms are Na at (0.000, 0.000, 0.000), Nb at (0.500, 0.500, 0.500) and Ag at (0.000, 0.000, 0.500).

The total energy comes out at -15.685 eV per cell. The energy relative to the elements is 1.2940 eV/atom. The density of states at the Fermi level comes out at 2.30 states/eV per cell.

Record 5
A plane-wave DFT calculation with PBEsol was carried out for an optimized crystal structure of NaNb2AgSb.

The space group is P4/mmm (No. 123) and the conventional cell measures 4.674, 4.674 and 4.890 Å, with angles of 90.00, 90.00 and 90.00 degrees. The inequivalent atoms are Na at (0.000, 0.000, 0.000), Nb at (0.000, 0.500, 0.000), Ag at (0.500, 0.500, 0.500) and Sb at (0.000, 0.000, 0.500).

The total energy comes out at -21.363 eV per cell. The value obtained for the uncorrected formation energy is 1.9095 eV per atom. The density of states at the Fermi level comes out at 4.36 states/eV per cell.

Record 6
A plane-wave DFT calculation with PBEsol was carried out for an optimized crystal structure of NaAgO.

The space group is I4/mmm (No. 139) and the conventional cell measures 9.359, 9.359 and 4.635 Å, with angles of 90.00, 90.00 and 90.00 degrees. The inequivalent atoms are Na at (0.000, 0.337, 0.000), Ag at (0.158, 0.158, 0.500) and O at (0.000, 0.309, 0.500).

The total energy comes out at -98.496 eV per cell. The value obtained for the uncorrected formation energy is -0.7839 eV per atom.

Record 7
A plane-wave DFT calculation with PBEsol was carried out for an optimized crystal structure of NaTc2AgO.

The space group is P4/mmm (No. 123) and the conventional cell measures 3.937, 3.937 and 4.568 Å, with angles of 90.00, 90.00 and 90.00 degrees. The inequivalent atoms are Na at (0.000, 0.000, 0.000), Tc at (0.000, 0.500, 0.500), Ag at (0.500, 0.500, 0.000) and O at (0.000, 0.000, 0.500).

The total energy comes out at -31.911 eV per cell. The value obtained for the uncorrected formation energy is 0.1163 eV per atom. The density of states at the Fermi level comes out at 5.74 states/eV per cell.

Record 8
A plane-wave DFT calculation with PBEsol was carried out for an optimized crystal structure of NaAg2P.

The space group is I-42d (No. 122) and the conventional cell measures 5.245, 5.245 and 15.451 Å, with angles of 90.00, 90.00 and 90.00 degrees. The inequivalent atoms are Na at (0.000, 0.000, 0.000), Ag at (0.060, 0.250, 0.625) and P at (0.000, 0.000, 0.500).

The total energy comes out at -54.172 eV per cell. The energy relative to the elements is 0.0676 eV/atom. The density of states at the Fermi level comes out at 0.04 states/eV per cell.

Record 9
A plane-wave DFT calculation with PBEsol was carried out for an optimized crystal structure of Na3AgP.

The space group is Pm-3m (No. 221) and the conventional cell measures 5.296, 5.296 and 5.296 Å, with angles of 90.00, 90.00 and 90.00 degrees. The inequivalent atoms are Na at (0.000, 0.000, 0.500), Ag at (0.000, 0.000, 0.000) and P at (0.500, 0.500, 0.500).

The total energy comes out at -10.906 eV per cell. The energy relative to the elements is 0.4791 eV/atom. The density of states at the Fermi level comes out at 2.12 states/eV per cell.

Record 10
A plane-wave DFT calculation with PBEsol was carried out for an optimized crystal structure of NaAg2P2.

The space group is I4/mmm (No. 139) and the conventional cell measures 4.235, 4.235 and 10.093 Å, with angles of 90.00, 90.00 and 90.00 degrees. The inequivalent atoms are Na at (0.000, 0.000, 0.000), Ag at (0.000, 0.500, 0.250) and P at (0.000, 0.000, 0.393).

The total energy comes out at -40.708 eV per cell. The energy relative to the elements is -0.1498 eV/atom. The density of states at the Fermi level comes out at 2.20 states/eV per cell.

Record 11
A plane-wave DFT calculation with PBEsol was carried out for an optimized crystal structure of Na2AgP2.

The space group is P4/mbm (No. 127) and the conventional cell measures 6.469, 6.469 and 4.555 Å, with angles of 90.00, 90.00 and 90.00 degrees. The inequivalent atoms are Na at (0.178, 0.322, 0.000), Ag at (0.000, 0.000, 0.500) and P at (0.119, 0.619, 0.500).

The total energy comes out at -37.978 eV per cell. The energy relative to the elements is -0.2591 eV/atom. The density of states at the Fermi level comes out at 2.72 states/eV per cell.

Record 12
A plane-wave DFT calculation with PBEsol was carried out for an optimized crystal structure of Na2Ag2Pb.

The space group is P4/mbm (No. 127) and the conventional cell measures 7.532, 7.532 and 4.098 Å, with angles of 90.00, 90.00 and 90.00 degrees. The inequivalent atoms are Na at (0.168, 0.332, 0.000), Ag at (0.130, 0.630, 0.500) and Pb at (0.000, 0.000, 0.500).

The total energy comes out at -26.529 eV per cell. The energy relative to the elements is 0.0312 eV/atom. The density of states at the Fermi level comes out at 3.20 states/eV per cell.